No. 1
# Y2Ir2Pd

A relaxed structure of Y2Ir2Pd (GGA-PBE, the Alexandria database).

## Properties
- Volume: 20.5 Å³ per atom
- Magnetic moment: 0.0 μB per cell
- ρ: 10849 kg/m³
- Crystal system: tetragonal
- Energy of formation: -3.39 eV per formula unit
- E_tot: -78.458 eV/cell

Cell: 7.1187 7.1187 4.0392 Å, 90.00 90.00 90.00°
Closest atoms and distances in Å follow each position.
Space group P4/mbm (No. 127)
Asymmetric unit:
1 Y 0.1782 0.3218 0.0000  6 Ir 2.81-2.99
2 Ir 0.1279 0.6279 0.5000  1 Ir 2.57, 2 Pd 2.80, 2 Y 2.81
3 Pd 0.0000 0.0000 0.5000  4 Ir 2.80

No. 2
# NbV2Fe3

A relaxed structure of NbV2Fe3 (GGA-PBE, the Alexandria database).

## Properties
- Volume: 12.6 Å³ per atom
- Magnetic moment: 0.1 μB per cell
- ρ: 7965 kg/m³
- Crystal system: tetragonal
- Energy of formation: -0.81 eV per formula unit
- E_tot: -54.505 eV/cell

Cell: 2.8284 2.8284 9.4424 Å, 90.00 90.00 90.00°
Closest atoms and distances in Å follow each position.
Space group P4/mmm (No. 123)
Asymmetric unit:
1 Nb 0.0000 0.0000 0.0000  8 Fe 2.80, 4 Nb 2.83
2 V 0.0000 0.0000 0.3416  8 Fe 2.37-2.50
3 Fe 0.5000 0.5000 0.2074  4 V 2.37
4 Fe 0.5000 0.5000 0.5000  8 V 2.50, 2 Fe 2.76

No. 3
# AgSbPd5

A relaxed structure of AgSbPd5 (GGA-PBE, the Alexandria database).

## Properties
- E above lowest polymorph: 0.3489 eV per atom
- Energy relative to the elements, uncorrected: 130 meV per atom
- Volume: 19.3 Å³ per atom
- Magnetic moment: 0.0 μB per cell
- ρ: 9340 kg/m³
- Crystal system: orthorhombic
- E_tot: -64.053 eV/cell

Cell: 5.2740 7.0205 7.3149 Å, 90.00 90.00 90.00°
Closest atoms and distances in Å follow each position.
Space group Imm2 (No. 44)
Asymmetric unit:
1 Ag 0.0000 0.0000 0.0000  3 Pd 2.58-2.66
2 Sb 0.0000 0.5000 0.8570  6 Pd 2.61-2.73
3 Pd 0.0000 0.0000 0.3529  1 Ag 2.58, 4 Pd 2.63-2.80, 2 Sb 2.64
4 Pd 0.0000 0.3143 0.5484  1 Sb 2.61, 4 Pd 2.61-2.78
5 Pd 0.2424 0.5000 0.1869  5 Pd 2.56-2.80, 1 Ag 2.66, 1 Sb 2.73

No. 4
# HfTi2S2

A relaxed structure of HfTi2S2 (GGA-PBE, the Alexandria database).

## Properties
- Energy relative to the elements, uncorrected: -983 meV per atom
- Volume: 17.1 Å³ per atom
- Magnetic moment: 0.0 μB per cell
- ρ: 6563 kg/m³
- Crystal system: monoclinic
- E_tot: -155.657 eV/cell

Cell: 8.1557 9.0614 5.1658 Å, 90.00 116.23 90.00°
Closest atoms and distances in Å follow each position.
Space group C2/c (No. 15)
Asymmetric unit:
1 Hf 0.0000 0.1118 0.2500  4 S 2.55-2.75
2 Ti 0.1909 0.4054 0.0218  4 S 2.33-2.49
3 S 0.0000 0.1919 0.7500  4 Ti 2.43-2.49, 2 Hf 2.68
4 S 0.0000 0.3934 0.2500  4 Ti 2.33-2.41, 1 Hf 2.55

No. 5
# Cd2Pb2O

A relaxed structure of Cd2Pb2O (GGA-PBE, the Alexandria database).

## Properties
- Energy relative to the elements, uncorrected: -145 meV per atom
- Volume: 25.6 Å³ per atom
- Magnetic moment: 0.0 μB per cell
- ρ: 8506 kg/m³
- Crystal system: tetragonal
- E_tot: -29.855 eV/cell

Cell: 6.7683 6.7683 5.5846 Å, 90.00 90.00 90.00°
Closest atoms and distances in Å follow each position.
Space group P4/mbm (No. 127)
Asymmetric unit:
1 Cd 0.1587 0.3413 0.0000  1 Cd 3.04, 2 Pb 3.18
2 Pb 0.1833 0.6833 0.5000  2 O 2.48
3 O 0.0000 0.0000 0.5000  4 Pb 2.48

No. 6
# Pm2GaSi3Au4

A relaxed structure of Pm2GaSi3Au4 (GGA-PBE, the Alexandria database).

## Properties
- Energy relative to the elements, uncorrected: -607 meV per atom
- Volume: 19.7 Å³ per atom
- Magnetic moment: 0.0 μB per cell
- ρ: 10406 kg/m³
- Crystal system: tetragonal
- E_tot: -47.973 eV/cell

Cell: 4.3161 4.3161 10.5519 Å, 90.00 90.00 90.00°
Closest atoms and distances in Å follow each position.
Space group P-4m2 (No. 115)
Asymmetric unit:
1 Pm 0.0000 0.5000 0.2434  6 Si 3.27-3.46, 8 Au 3.31-3.35, 2 Ga 3.46
2 Ga 0.0000 0.0000 0.5000  4 Au 2.59
3 Si 0.0000 0.5000 0.8668  5 Au 2.43-2.58
4 Si 0.5000 0.5000 0.5000  4 Au 2.59
5 Au 0.0000 0.0000 0.0000  4 Si 2.58
6 Au 0.0000 0.5000 0.6364  3 Si 2.43-2.59, 2 Ga 2.59
7 Au 0.5000 0.5000 0.0000  4 Si 2.58

No. 7
# Mg6MnB

A relaxed structure of Mg6MnB (GGA-PBE, the Alexandria database).

## Properties
- E above lowest polymorph: 0.2808 eV per atom
- Volume: 18.5 Å³ per atom
- Magnetic moment: 6.7 μB per cell
- ρ: 2374 kg/m³
- Crystal system: orthorhombic
- Energy of formation: 3.37 eV per formula unit
- E_tot: -44.081 eV/cell

Cell: 4.7005 6.0194 10.4628 Å, 90.00 90.00 90.00°
Closest atoms and distances in Å follow each position.
Space group Amm2 (No. 38)
Asymmetric unit:
1 Mg 0.0000 0.0000 0.0000  2 Mn 2.87, 10 Mg 2.94-3.09
2 Mg 0.0000 0.0000 0.4926  2 B 2.74, 8 Mg 2.86-3.01
3 Mg 0.0000 0.2469 0.2591  8 Mg 2.86-3.18, 2 Mn 2.93, 2 B 2.97
4 Mg 0.5000 0.2470 0.5857  1 B 2.80, 8 Mg 2.94-3.05, 2 Mn 2.97-3.07
5 Mn 0.5000 0.0000 0.8419  10 Mg 2.87-3.07, 2 B 3.01
6 B 0.5000 0.0000 0.3589  8 Mg 2.74-2.97, 2 Mn 3.01

No. 8
# LiAg3I6

A relaxed structure of LiAg3I6 (GGA-PBE, the Alexandria database).

## Properties
- Energy relative to the elements, uncorrected: -270 meV per atom
- Volume: 33.4 Å³ per atom
- Magnetic moment: 0.0 μB per cell
- ρ: 5421 kg/m³
- Crystal system: monoclinic
- E_tot: -44.942 eV/cell

Cell: 7.7119 7.0063 14.2006 Å, 90.00 119.33 90.00°
Closest atoms and distances in Å follow each position.
Space group P2_1/c (No. 14)
Asymmetric unit:
1 Li 0.0000 0.0000 0.0000  6 I 2.95-3.06
2 Ag 0.2159 0.0026 0.7525  4 I 2.82-2.97
3 Ag 0.5000 0.0000 0.5000  4 I 2.77-2.86
4 I 0.1193 0.0975 0.2284  2 Ag 2.82-2.88, 1 Li 2.99
5 I 0.2703 0.6696 0.0867  2 Ag 2.85-2.86, 1 Li 2.95
6 I 0.4131 0.1625 0.0694  2 Ag 2.77-2.97, 1 Li 3.06

Question: Which of these has the highest magnetic moment?
Answer: Mg6MnB